Computed, not measured: a relaxed structure of Ba3Ta2CrO9 at the PBE+U level of DFT.

Properties
Space group: P-3m1
Raw total energy in eV per atom: -8.22
D(E_F) in states/eV/f.u.: 2.45

Lattice parameters (Å, degrees): 5.7942 5.7942 7.1034 90.00 90.00 120.00
Sites, in units of the cell vectors:
Ba: 0.0000 0.0000 0.0000
Ba: 0.3333 0.6667 0.6619
Ba: 0.6667 0.3333 0.3381
Ta: 0.3333 0.6667 0.1734
Ta: 0.6667 0.3333 0.8266
Cr: 0.0000 0.0000 0.5000
O: 0.0000 0.5000 0.0000
O: 0.1677 0.3354 0.3313
O: 0.1677 0.8323 0.3313
O: 0.3354 0.1677 0.6687
O: 0.5000 0.0000 0.0000
O: 0.5000 0.5000 0.0000
O: 0.6646 0.8323 0.3313
O: 0.8323 0.1677 0.6687
O: 0.8323 0.6646 0.6687